[1]
{"formula": "La2BN", "functional": "PBE", "state": "optimized geometry", "cell": [[0.000, 3.303, 3.303], [3.303, 0.000, 3.303], [3.303, 3.303, 0.000]], "species": ["B", "N", "La", "La"], "fractional_positions": [[0.000, 0.000, 0.000], [0.500, 0.500, 0.500], [0.250, 0.250, 0.250], [0.750, 0.750, 0.750]], "e_form_raw_ev_per_atom": 0.137, "de_polymorph_mev_per_atom": 426.1}

[2]
{"formula": "Ta5Sb", "functional": "PBE", "state": "optimized geometry", "cell": [[-0.069, 3.221, -3.966], [-0.621, -5.013, -0.769], [-4.963, 0.535, 0.521]], "species": ["Ta", "Ta", "Ta", "Ta", "Ta", "Sb"], "fractional_positions": [[0.661, 0.000, 0.000], [0.339, 0.339, 0.000], [0.000, 0.661, 0.000], [0.667, 0.333, 0.500], [0.333, 0.667, 0.500], [0.000, 0.000, 0.500]], "e_form_raw_ev_per_atom": 0.183, "de_polymorph_mev_per_atom": 207.6}

[3]
{"formula": "VFeH2", "functional": "PBE", "state": "optimized geometry", "cell": [[2.675, 0.000, 0.000], [1.337, 2.316, 0.000], [1.337, 0.772, 4.725]], "species": ["V", "Fe", "H", "H"], "fractional_positions": [[0.498, 0.498, 0.507], [0.669, 0.669, 0.993], [0.079, 0.079, 0.763], [0.254, 0.254, 0.237]], "final_energy_ev_per_atom": -6.003}

[4]
{"formula": "Pm2Ni2Ru", "functional": "PBE", "state": "optimized geometry", "cell": [[5.115, -0.036, 0.946], [2.214, 4.611, 0.946], [0.079, 0.049, 8.169]], "species": ["Pm", "Pm", "Pm", "Pm", "Ni", "Ni", "Ni", "Ni", "Ru", "Ru"], "fractional_positions": [[0.467, 0.226, 0.155], [0.774, 0.533, 0.345], [0.533, 0.774, 0.845], [0.226, 0.467, 0.655], [0.757, 0.998, 0.499], [0.002, 0.243, 0.001], [0.243, 0.002, 0.501], [0.998, 0.757, 0.999], [0.136, 0.864, 0.250], [0.864, 0.136, 0.750]], "formation_energy_ev_per_fu": -1.351, "de_polymorph_mev_per_atom": 0.0}

[5]
{"formula": "Cd2BPt6", "functional": "PBE", "state": "optimized geometry", "cell": [[-2.723, 1.761, -4.814], [-2.183, -4.369, 3.136], [-5.171, 6.351, 5.248]], "species": ["Cd", "Cd", "Cd", "Cd", "B", "B", "Pt", "Pt", "Pt", "Pt", "Pt", "Pt", "Pt", "Pt", "Pt", "Pt", "Pt", "Pt"], "fractional_positions": [[0.000, 0.000, 0.634], [0.000, 0.000, 0.134], [0.333, 0.667, 0.870], [0.667, 0.333, 0.370], [0.333, 0.667, 0.247], [0.667, 0.333, 0.747], [0.504, 0.007, 0.119], [0.496, 0.504, 0.619], [0.007, 0.504, 0.619], [0.993, 0.496, 0.119], [0.504, 0.496, 0.119], [0.496, 0.993, 0.619], [0.835, 0.671, 0.881], [0.165, 0.835, 0.381], [0.671, 0.835, 0.381], [0.329, 0.165, 0.881], [0.835, 0.165, 0.881], [0.165, 0.329, 0.381]], "formation_energy_ev_per_fu": -2.752}

[6]
{"formula": "KSnP2S8", "functional": "PBE", "state": "optimized geometry", "cell": [[6.024, 0.000, 0.000], [3.012, 5.217, 0.000], [3.012, 1.739, 9.497]], "species": ["K", "Sn", "P", "P", "S", "S", "S", "S", "S", "S", "S", "S"], "fractional_positions": [[0.500, 0.500, 0.500], [0.000, 0.000, 0.000], [0.257, 0.257, 0.228], [0.743, 0.743, 0.772], [0.187, 0.187, 0.439], [0.597, 0.297, 0.167], [0.813, 0.813, 0.561], [0.939, 0.597, 0.167], [0.061, 0.403, 0.833], [0.297, 0.939, 0.167], [0.703, 0.061, 0.833], [0.403, 0.703, 0.833]], "e_form_raw_ev_per_atom": -0.288}

[7]
{"formula": "Pm2Sm12Dy", "functional": "PBE", "state": "optimized geometry", "cell": [[6.615, 1.548, 0.000], [1.548, 6.615, 0.000], [0.000, 0.000, 24.949]], "species": ["Pm", "Pm", "Pm", "Pm", "Sm", "Sm", "Sm", "Sm", "Sm", "Sm", "Sm", "Sm", "Sm", "Sm", "Sm", "Sm", "Sm", "Sm", "Sm", "Sm", "Sm", "Sm", "Sm", "Sm", "Sm", "Sm", "Sm", "Sm", "Dy", "Dy"], "fractional_positions": [[0.500, 0.000, 0.272], [0.000, 0.500, 0.266], [0.000, 0.500, 0.728], [0.500, 0.000, 0.734], [0.500, 0.500, 0.801], [0.000, 0.000, 0.801], [0.751, 0.749, 0.873], [0.251, 0.751, 0.924], [0.000, 0.000, 0.326], [0.249, 0.749, 0.076], [0.773, 0.273, 0.560], [0.500, 0.500, 0.326], [0.249, 0.251, 0.873], [0.749, 0.751, 0.127], [0.269, 0.231, 0.583], [0.727, 0.227, 0.440], [0.000, 0.000, 0.674], [0.231, 0.269, 0.417], [0.251, 0.249, 0.127], [0.769, 0.731, 0.417], [0.731, 0.769, 0.583], [0.000, 0.000, 0.199], [0.227, 0.727, 0.560], [0.500, 0.500, 0.674], [0.749, 0.249, 0.924], [0.500, 0.500, 0.199], [0.273, 0.773, 0.440], [0.751, 0.251, 0.076], [0.500, 0.000, 0.000], [0.000, 0.500, 0.000]], "formation_energy_ev_per_fu": 2.353}

[8]
{"formula": "PrSnRuRh", "functional": "PBE", "state": "optimized geometry", "cell": [[-2.459, 1.247, -3.918], [1.030, -2.022, -4.219], [-3.071, -3.094, -1.986]], "species": ["Pr", "Ru", "Rh", "Sn"], "fractional_positions": [[0.000, 0.000, 0.000], [0.750, 0.750, 0.750], [0.250, 0.250, 0.250], [0.500, 0.500, 0.500]], "formation_energy_ev_per_fu": -1.645}

[9]
{"formula": "RbScRu2", "functional": "PBE", "state": "optimized geometry", "cell": [[0.693, -2.005, 4.286], [-0.723, 2.553, 3.979], [-3.740, -0.972, 2.818]], "species": ["Sc", "Ru", "Ru", "Rb"], "fractional_positions": [[0.000, 0.000, 0.000], [0.250, 0.250, 0.250], [0.750, 0.750, 0.750], [0.500, 0.500, 0.500]], "formation_energy_ev_per_fu": 4.456, "de_polymorph_mev_per_atom": 127.2}

[10]
{"formula": "SrScPb", "functional": "PBE", "state": "optimized geometry", "cell": [[5.369, 0.000, 0.000], [2.685, 4.650, 0.000], [2.685, 1.550, 4.384]], "species": ["Pb", "Sc", "Sr"], "fractional_positions": [[0.000, 0.000, 0.000], [0.500, 0.500, 0.500], [0.750, 0.750, 0.750]], "formation_energy_ev_per_fu": 1.403}

[11]
{"formula": "Ir2RuSe", "functional": "PBE", "state": "optimized geometry", "cell": [[4.758, 0.005, 0.000], [1.454, 4.530, 0.000], [-3.106, -2.267, 2.802]], "species": ["Ir", "Ir", "Ru", "Se"], "fractional_positions": [[0.000, 0.000, 0.000], [0.500, 0.500, 0.000], [0.250, 0.750, 0.500], [0.750, 0.250, 0.500]], "e_form_raw_ev_per_atom": 0.495}

[12]
{"formula": "YV2Ru2", "functional": "PBE", "state": "optimized geometry", "cell": [[-1.932, -1.633, 7.105], [-2.929, -6.557, -2.303], [2.566, -1.288, 0.402]], "species": ["Y", "Y", "Ru", "Ru", "Ru", "Ru", "V", "V", "V", "V"], "fractional_positions": [[0.000, 0.000, 0.000], [0.500, 0.500, 0.000], [0.359, 0.859, 0.000], [0.859, 0.641, 0.000], [0.641, 0.141, 0.000], [0.141, 0.359, 0.000], [0.144, 0.644, 0.500], [0.644, 0.856, 0.500], [0.856, 0.356, 0.500], [0.356, 0.144, 0.500]], "formation_energy_ev_per_fu": -0.077, "de_polymorph_mev_per_atom": 240.1}